Entry from the Alexandria database: a PBEsol-optimized structure of KCrMo2 (meta-GGA SCAN). Values from VASP.

Calculated values
Its symmetry is Cmmm (65). The total energy is -23.280 eV per atom. For the magnetization, the calculation gives 0.000 μB/f.u. For the volume, the calculation gives 17.32 Å³ per atom.

Geometry as Quantum ESPRESSO input:
```
&SYSTEM
  ibrav = 0, nat = 4, ntyp = 3
/
ATOMIC_SPECIES
Mo 95.94 Mo.upf
Cr 52.00 Cr.upf
K 39.10 K.upf
CELL_PARAMETERS angstrom
-2.3908 -0.7638 1.0092
0.2854 -0.8434 -2.5544
4.1574 -8.6333 3.3148
ATOMIC_POSITIONS crystal
Mo 0.0000 0.0000 0.6930
Mo 0.0000 0.0000 0.3070
Cr 0.5000 0.5000 0.5000
K 0.5000 0.5000 0.0000
```